A geometry-optimized ZrTaGe structure, computed with PBE-GGA.

Final energy: -25.05 eV per formula unit
Total moment: 0.42 Bohr magnetons per cell

```
data_ZrTaGe
_cell_length_a 4.7774
_cell_length_b 4.7774
_cell_length_c 2.9263
_cell_angle_alpha 90.00
_cell_angle_beta 90.00
_cell_angle_gamma 120.00
_symmetry_space_group_name_H-M 'P -6 m 2'
_symmetry_Int_Tables_number 187
_symmetry_space_group_name_Hall 'P -6 2'
loop_
_atom_site_label
_atom_site_type_symbol
_atom_site_fract_x
_atom_site_fract_y
_atom_site_fract_z
Zr1 Zr 0.0000 0.0000 0.0000
Ta1 Ta 0.3333 0.6667 0.5000
Ge1 Ge 0.6667 0.3333 0.5000
```